Here is an optimized crystal structure of Tm3Be2Si4 from the Alexandria database. Energies are from PBE-GGA.

Crystal system: monoclinic
E_form (uncorrected) (meV per atom): -671
Calculated volume (Å³/cell): 307.4

Cell and atoms, written as CIF:
```
data_Tm3Be2Si4
_chemical_formula_sum 'Tm6 Be4 Si8'
_space_group_name_H-M_alt 'C 1 2/m 1'
_space_group_IT_number 12
_cell_length_a 10.386
_cell_length_b 3.868
_cell_length_c 7.758
_cell_angle_alpha 90.00
_cell_angle_beta 99.54
_cell_angle_gamma 90.00
loop_
_space_group_symop_operation_xyz
'x,y,z'
'-x,-y,-z'
'-x,y,-z'
'x,-y,z'
'x+1/2,y+1/2,z'
'-x+1/2,-y+1/2,-z'
'-x+1/2,y+1/2,-z'
'x+1/2,-y+1/2,z'
loop_
_atom_site_label
_atom_site_type_symbol
_atom_site_fract_x
_atom_site_fract_y
_atom_site_fract_z
_atom_site_occupancy
Tm1 Tm 0.000 0.000 0.000 1
Tm2 Tm 0.165 0.500 0.666 1
Be1 Be 0.109 0.500 0.281 1
Si1 Si 0.061 0.000 0.384 1
Si2 Si 0.215 0.500 0.064 1
```